VASP calculation (PBE-GGA) on a relaxed structure of DyZn5Rh6.

Cell: 4.367 6.210 6.886 Å, 90.00 108.41 90.00°
Space group P2/m (No. 10)
Asymmetric unit:
Dy1 0.000 0.000 0.000 x1
Zn1 0.000 0.500 0.000 x1
Zn2 0.334 0.000 0.667 x2
Zn3 0.335 0.500 0.670 x2
Rh1 0.173 0.259 0.346 x4
Rh2 0.500 0.268 0.000 x2

Results
Calculated formation energy: -0.48 eV/atom
DOS at the Fermi energy: 7.0 states/eV per cell